DFT (GGA-PBEsol) results for LaY2Hg after structural relaxation.

abc: 3.7480 5.5144 6.5758
angles: 114.79 106.56 90.00
Closest atoms and distances in Å follow each position.
Element x y z (fractional)
Y (0.7817, 0.7817, 0.5633)  2 Hg 3.10, 4 Y 3.41
Y (0.2183, 0.2183, 0.4367)  2 Hg 3.10, 4 Y 3.41
Hg (0.5000, 0.0000, 0.0000)  4 Y 3.10, 4 La 3.33
La (0.0000, 0.5000, 0.0000)  4 Hg 3.33, 8 Y 3.70-3.71

Calculated values
Final energy, eV per atom: -5.165
Symmetry: Immm (71)


DFT (GGA-PBEsol) results for LaY2Hg after structural relaxation.

abc: 3.7707 5.3007 6.6308
angles: 113.56 106.52 90.00
Closest atoms and distances in Å follow each position.
Element x y z (fractional)
Y (0.0034, 0.5034, 0.0069)  4 Hg 3.26
Y (0.7856, 0.7856, 0.5711)  2 Hg 3.02, 4 La 3.34
Hg (0.4898, 0.9898, 0.9795)  6 Y 3.02-3.26, 2 La 3.27
La (0.2212, 0.2212, 0.4425)  2 Hg 3.27, 6 Y 3.34-3.66

Calculated values
Final energy, eV per atom: -5.150
Symmetry: Imm2 (44)


DFT (GGA-PBEsol) results for La2YHg after structural relaxation.

abc: 3.6923 4.6035 6.9601
angles: 90.00 90.00 90.00
Closest atoms and distances in Å follow each position.
Element x y z (fractional)
Y (0.5000, 0.5000, 0.0000)  2 Hg 3.48, 8 La 3.50, 2 Y 3.69
Hg (0.5000, 0.5000, 0.5000)  8 La 3.35, 2 Y 3.48, 2 Hg 3.69
La (0.0000, 0.0000, 0.7286)  1 La 3.18, 4 Hg 3.35, 4 Y 3.50
La (0.0000, 0.0000, 0.2714)  1 La 3.18, 4 Hg 3.35, 4 Y 3.50

Calculated values
Final energy, eV per atom: -4.740
Symmetry: Pmmm (47)


DFT (GGA-PBEsol) results for LaY2Hg after structural relaxation.

abc: 3.6306 3.6306 8.5955
angles: 90.00 90.00 90.00
Closest atoms and distances in Å follow each position.
Element x y z (fractional)
Y (0.0000, 0.0000, 0.7866)  4 Hg 3.15
Y (0.0000, 0.0000, 0.2134)  4 Hg 3.15
Hg (0.5000, 0.5000, 0.0000)  8 Y 3.15
La (0.5000, 0.5000, 0.5000)  8 Y 3.56, 4 La 3.63

Calculated values
Final energy, eV per atom: -5.182
Symmetry: P4/mmm (123)


DFT (GGA-PBEsol) results for LaYHg after structural relaxation.

abc: 5.1500 5.1500 5.1500
angles: 60.00 60.00 60.00
Closest atoms and distances in Å follow each position.
Element x y z (fractional)
Hg (0.2500, 0.2500, 0.2500)  4 La 3.15, 4 Y 3.15
La (0.0000, 0.0000, 0.0000)  4 Hg 3.15
Y (0.5000, 0.5000, 0.5000)  4 Hg 3.15

Calculated values
Final energy, eV per atom: -4.399
Symmetry: F-43m (216)
Energy above the lowest structure with this stoichiometry, meV/atom: 207


DFT (GGA-PBEsol) results for LaY2Hg after structural relaxation.

abc: 3.6214 4.5730 6.8028
angles: 90.00 90.03 90.00
Closest atoms and distances in Å follow each position.
Element x y z (fractional)
Hg (0.9997, 0.0000, 0.4884)  6 Y 3.22-3.58, 4 La 3.35
La (0.4998, 0.5000, 0.7302)  5 Y 3.15-3.50, 4 Hg 3.35
Y (0.0001, 0.0000, 0.0148)  2 Hg 3.22-3.58, 4 Y 3.38, 4 La 3.50
Y (0.5003, 0.5000, 0.2666)  1 La 3.15, 4 Hg 3.28-3.29, 4 Y 3.38

Calculated values
Final energy, eV per atom: -5.104
Symmetry: Pmm2 (25)


DFT (GGA-PBEsol) results for La2YHg after structural relaxation.

abc: 3.7964 5.2380 6.8698
angles: 112.41 106.04 90.00
Closest atoms and distances in Å follow each position.
Element x y z (fractional)
Y (0.5000, 0.0000, 0.0000)  4 Hg 3.23
Hg (0.0000, 0.5000, 0.0000)  4 La 3.22, 4 Y 3.23
La (0.7142, 0.7142, 0.4285)  2 Hg 3.22, 4 La 3.35
La (0.2858, 0.2858, 0.5715)  2 Hg 3.22, 4 La 3.35

Calculated values
Final energy, eV per atom: -4.755
Symmetry: Immm (71)


DFT (GGA-PBEsol) results for LaY2Hg after structural relaxation.

abc: 4.6965 4.6965 5.9621
angles: 113.20 113.20 90.00
Closest atoms and distances in Å follow each position.
Element x y z (fractional)
Hg (0.5000, 0.5000, 0.0000)  8 Y 3.32-3.41, 4 La 3.41
La (0.2500, 0.7500, 0.5000)  8 Y 3.32-3.41, 4 Hg 3.41
Y (0.0000, 0.0000, 0.0000)  4 Hg 3.32, 4 La 3.41, 4 Y 3.41
Y (0.7500, 0.2500, 0.5000)  4 La 3.32, 4 Hg 3.41, 4 Y 3.41

Calculated values
Final energy, eV per atom: -5.098
Symmetry: I-4m2 (119)


DFT (GGA-PBEsol) results for La2YHg after structural relaxation.

abc: 4.7134 4.7134 6.0706
angles: 112.84 112.84 90.00
Closest atoms and distances in Å follow each position.
Element x y z (fractional)
Y (0.5000, 0.5000, 0.0000)  4 Hg 3.33, 8 La 3.46
Hg (0.0000, 0.0000, 0.0000)  4 Y 3.33, 8 La 3.46
La (0.7500, 0.2500, 0.5000)  4 La 3.33, 4 Hg 3.46, 4 Y 3.46
La (0.2500, 0.7500, 0.5000)  4 La 3.33, 4 Y 3.46, 4 Hg 3.46

Calculated values
Final energy, eV per atom: -4.760
Symmetry: I4/mmm (139)


DFT (GGA-PBEsol) results for La2YHg after structural relaxation.

abc: 3.7514 3.7514 8.7668
angles: 90.00 90.00 90.00
Closest atoms and distances in Å follow each position.
Element x y z (fractional)
Y (0.5000, 0.5000, 0.0000)  8 La 3.60, 4 Y 3.75
Hg (0.5000, 0.5000, 0.5000)  8 La 3.29
La (0.0000, 0.0000, 0.7229)  4 Hg 3.29, 4 Y 3.60
La (0.0000, 0.0000, 0.2771)  4 Hg 3.29, 4 Y 3.60

Calculated values
Final energy, eV per atom: -4.752
Symmetry: P4/mmm (123)


DFT (GGA-PBEsol) results for LaY2Hg2 after structural relaxation.

abc: 4.8360 4.8360 7.1338
angles: 109.81 109.81 90.00
Closest atoms and distances in Å follow each position.
Element x y z (fractional)
Y (0.2500, 0.7500, 0.5000)  4 Hg 3.00
Y (0.7500, 0.2500, 0.5000)  4 Hg 3.00
Hg (0.3917, 0.3917, 0.7834)  1 Hg 2.71, 4 Y 3.00
Hg (0.6083, 0.6083, 0.2166)  1 Hg 2.71, 4 Y 3.00
La (0.0000, 0.0000, 0.0000)  8 Hg 3.68, 8 Y 3.96

Calculated values
Final energy, eV per atom: -4.332
Symmetry: I4/mmm (139)
Energy above the lowest structure with this stoichiometry, meV/atom: 147


DFT (GGA-PBEsol) results for La2YHg after structural relaxation.

abc: 3.6824 3.6824 8.6538
angles: 90.00 90.00 90.00
Closest atoms and distances in Å follow each position.
Element x y z (fractional)
Y (0.0000, 0.0000, 0.5350)  4 Hg 3.12
Hg (0.5000, 0.5000, 0.7330)  4 Y 3.12, 4 La 3.34
La (0.0000, 0.0000, 0.9751)  4 Hg 3.34, 8 La 3.57-3.68
La (0.5000, 0.5000, 0.2569)  4 Y 3.55, 8 La 3.57-3.68

Calculated values
Final energy, eV per atom: -4.809
Symmetry: P4mm (99)


DFT (GGA-PBEsol) results for LaY2Hg2 after structural relaxation.

abc: 3.7920 8.4807 8.4807
angles: 90.00 90.00 90.00
Closest atoms and distances in Å follow each position.
Element x y z (fractional)
Y (0.5000, 0.1657, 0.6657)  6 Hg 3.10-3.16
Y (0.5000, 0.6657, 0.8343)  6 Hg 3.10-3.16
Y (0.5000, 0.8343, 0.3343)  6 Hg 3.10-3.16
Y (0.5000, 0.3343, 0.1657)  6 Hg 3.10-3.16
Hg (0.0000, 0.3701, 0.8701)  6 Y 3.10-3.16, 1 Hg 3.12, 2 La 3.33
Hg (0.0000, 0.8701, 0.6299)  6 Y 3.10-3.16, 1 Hg 3.12, 2 La 3.33
Hg (0.0000, 0.6299, 0.1299)  6 Y 3.10-3.16, 1 Hg 3.12, 2 La 3.33
Hg (0.0000, 0.1299, 0.3701)  6 Y 3.10-3.16, 1 Hg 3.12, 2 La 3.33
La (0.0000, 0.0000, 0.0000)  4 Hg 3.33, 8 Y 3.69
La (0.0000, 0.5000, 0.5000)  4 Hg 3.33, 8 Y 3.69

Calculated values
Final energy, eV per atom: -4.478
Symmetry: P4/mbm (127)
Energy above the lowest structure with this stoichiometry, meV/atom: 0


DFT (GGA-PBEsol) results for La2YHg after structural relaxation.

abc: 3.7725 5.6056 6.5736
angles: 114.56 106.68 90.00
Closest atoms and distances in Å follow each position.
Element x y z (fractional)
Y (0.5300, 0.5382, 0.0600)  2 Hg 3.06
Hg (0.2417, 0.7298, 0.4833)  2 Y 3.06, 6 La 3.27-3.41
La (0.9764, 0.9856, 0.9528)  2 Hg 3.27, 4 Y 3.43, 2 La 3.65
La (0.7519, 0.2464, 0.5039)  4 Hg 3.35-3.41, 3 La 3.65-3.70, 3 Y 3.68-3.73

Calculated values
Final energy, eV per atom: -4.789
Symmetry: Cm (8)


DFT (GGA-PBEsol) results for LaY2Hg after structural relaxation.

abc: 3.6333 3.6333 8.8552
angles: 90.00 90.00 90.00
Closest atoms and distances in Å follow each position.
Element x y z (fractional)
Y (0.0000, 0.0000, 0.0114)  8 Y 3.52-3.63, 4 La 3.62
Y (0.5000, 0.5000, 0.2824)  4 Hg 3.12
Hg (0.0000, 0.0000, 0.4821)  4 Y 3.12, 4 La 3.35
La (0.5000, 0.5000, 0.7241)  4 Hg 3.35, 4 Y 3.62, 4 La 3.63

Calculated values
Final energy, eV per atom: -5.150
Symmetry: P4mm (99)


Results for DOS at the Fermi energy: 4.88, 4.05, 4.63, 5.62, 4.81, 4.15, 4.51, 4.64, 4.14, 5.81, 7.38, 5.17, 9.90, 4.54, 5.10 (in states/eV per cell, following the order of the records).
Results for energy relative to the elements: -0.28, -0.26, -0.22, -0.29, -0.15, -0.22, -0.23, -0.21, -0.24, -0.23, -0.31, -0.29, -0.45, -0.27, -0.26 (in eV/atom, following the order of the records).